3
Lattice="1.833 -3.221 -3.372 -2.037 -4.552 -0.481 -2.665 -1.132 -4.089" Properties=species:S:1:pos:R:3 comment="KUBe, relaxed, DFT GGA-PBE" space_group="No. 216" magmom_total_mub_per_cell=3.74 de_polymorph_kj_per_mol_atoms=0.00 pbc="T T T"
U -2.152 -6.679 -5.957
Be 0.000 0.000 0.000
K -0.717 -2.226 -1.986